Density functional theory data (PBE-GGA) for a relaxed Zr4NiRu3 crystal.

Output
* V: 17.44 A^3/atom
* symmetry: No. 47
* DFT formation energy: -0.554 eV per atom

Cell: 3.2473 4.6356 9.2706 Å, 90.00 90.00 90.00°
Element x y z (fractional)
1 Zr 0.0000 0.5000 0.7526
2 Zr 0.0000 0.5000 0.2474
3 Zr 0.0000 0.0000 0.0000
4 Zr 0.0000 0.0000 0.5000
5 Ru 0.5000 0.5000 0.5000
6 Ru 0.5000 0.0000 0.7506
7 Ru 0.5000 0.0000 0.2494
8 Ni 0.5000 0.5000 0.0000

Density functional theory data (PBE-GGA) for a relaxed Zr2NiRu crystal.

Output
* energy above the most stable polymorph in this dataset: 365 meV per atom
* V: 16.66 A^3/atom
* symmetry: No. 216
* DFT formation energy: -0.116 eV per atom

Cell: 4.5511 4.5511 4.5511 Å, 60.00 60.00 60.00°
Element x y z (fractional)
1 Zr 0.0000 0.0000 0.0000
2 Zr 0.2500 0.2500 0.2500
3 Ni 0.5000 0.5000 0.5000
4 Ru 0.7500 0.7500 0.7500

Density functional theory data (PBE-GGA) for a relaxed ZrNiRu3 crystal.

Output
* energy above the most stable polymorph in this dataset: 1060 meV per atom
* V: 21.45 A^3/atom
* symmetry: No. 221
* DFT formation energy: 1.922 eV per atom

Cell: 4.7514 4.7514 4.7514 Å, 90.00 90.00 90.00°
Element x y z (fractional)
1 Zr 0.0000 0.0000 0.0000
2 Ru 0.0000 0.0000 0.5000
3 Ru 0.5000 0.0000 0.0000
4 Ru 0.0000 0.5000 0.0000
5 Ni 0.5000 0.5000 0.5000